A plane-wave DFT calculation with GGA+U was carried out for VPb3F after structural relaxation.

Cell: 5.0658 5.0658 5.0658 Å, 90.00 90.00 90.00°
Space group Pm-3m (No. 221)
One atom of each set of equivalent atoms:
V (0.0000, 0.0000, 0.0000) (multiplicity 1)
Pb (0.0000, 0.5000, 0.5000) (multiplicity 3)
F (0.5000, 0.5000, 0.5000) (multiplicity 1)

Properties
Total magnetization (μB per formula unit): 3.458
DFT total energy (eV/atom): -4.068